A relaxed structure of Ac2Mg6AlCd, computed with GGA-PBE.

Values from the calculation:
Its formation energy from the elements is -0.21 kcal/mol of atoms. The total energy is -2.25 eV/atom.

abc: 7.9443 9.9781 7.3211
angles: 90.00 90.00 90.00
Sites, in units of the cell vectors:
Ac (0.2500, 0.0162, 0.2409)
Ac (0.2500, 0.4838, 0.2409)
Ac (0.7500, 0.5162, 0.7591)
Ac (0.7500, 0.9838, 0.7591)
Mg (0.0609, 0.2500, 0.8999)
Mg (0.0700, 0.7500, 0.5510)
Mg (0.2500, 0.0030, 0.7362)
Mg (0.2500, 0.4970, 0.7362)
Mg (0.4300, 0.7500, 0.5510)
Mg (0.4391, 0.2500, 0.8999)
Mg (0.5609, 0.7500, 0.1001)
Mg (0.5700, 0.2500, 0.4490)
Mg (0.7500, 0.5030, 0.2638)
Mg (0.7500, 0.9970, 0.2638)
Mg (0.9300, 0.2500, 0.4490)
Mg (0.9391, 0.7500, 0.1001)
Al (0.2500, 0.2500, 0.5562)
Al (0.7500, 0.7500, 0.4438)
Cd (0.2500, 0.7500, 0.9197)
Cd (0.7500, 0.2500, 0.0803)